[1]
A relaxed SrCd6In crystal, computed with GGA-PBE.

Lattice parameters (Å, degrees): 6.047 6.047 6.777 90.00 90.00 119.99
Fractional coordinates of all 8 atoms:
Cd 0.500 0.000 0.760
Cd 0.000 0.500 0.240
Cd 0.500 0.000 0.240
Sr 0.000 0.000 0.500
Cd 0.000 0.500 0.760
Cd 0.500 0.500 0.759
In 0.000 0.000 0.000
Cd 0.500 0.500 0.241

Summary:
total magnetization	0.0000	μB/atom
E above lowest polymorph	43.4	meV per atom
electronic total energy	-1.33	eV/atom
symmetry	P6/mmm, No. 191
N(E_F)	0.47	states/eV/atom


[2]
A relaxed SrTbCdIn crystal, computed with GGA-PBE.

Lattice parameters (Å, degrees): 5.524 5.524 5.524 60.00 60.00 60.00
Fractional coordinates of all 4 atoms:
In 0.250 0.250 0.250
Tb 0.500 0.500 0.500
Cd 0.750 0.750 0.750
Sr 0.000 0.000 0.000

Summary:
total magnetization	0.0000	μB/atom
E above lowest polymorph	38.0	meV per atom
electronic total energy	-2.84	eV/atom
symmetry	F-43m, No. 216
N(E_F)	0.67	states/eV/atom


[3]
A relaxed SrTbCd2In2 crystal, computed with GGA-PBE.

Lattice parameters (Å, degrees): 4.981 4.981 7.827 90.00 90.00 120.00
Fractional coordinates of all 6 atoms:
Tb 0.000 0.000 0.500
In 0.333 0.667 0.286
Cd 0.333 0.667 0.709
In 0.667 0.333 0.714
Cd 0.667 0.333 0.291
Sr 0.000 0.000 0.000

Summary:
total magnetization	0.0000	μB/atom
electronic total energy	-2.68	eV/atom
symmetry	P-3m1, No. 164
N(E_F)	0.52	states/eV/atom


Among the records above, which one has the highest N(E_F)? SrTbCdIn


Which value of electronic total energy does entry 2 give? -2.84 eV/atom


Among the records above, which one has the highest electronic total energy? SrCd6In